CuPt2Br: relaxed, PBE.

a = 3.9808 Å, b = 3.9808 Å, c = 4.1357 Å
α = 90.00°, β = 90.00°, γ = 90.00°
Fractional positions:
1 Cu 0.0000 0.0000 0.0000
2 Pt 0.0000 0.5000 0.5000
3 Pt 0.5000 0.0000 0.5000
4 Br 0.5000 0.5000 0.0000

Values from the calculation:
* size of the total moment: 0.0 μB per formula unit
* density of states at the Fermi level: 2.9 states/eV/f.u.
* calculated total energy: -15.66 eV per formula unit
* excess energy over the best structure of this formula in the dataset: 31.1 kJ per mole of atoms
* space group: P4/mmm (123)